8
Lattice="3.977 0.000 0.000 0.000 3.977 0.000 0.000 0.000 8.564" Properties=species:S:1:pos:R:3 comment="LaSiPdN, relaxed, DFT PBE" e_form_raw_ev_per_atom=-1.15 pbc="T T T"
La 0.994 0.994 1.310
La 2.983 2.983 7.254
Si 0.994 0.994 5.700
Si 2.983 2.983 2.864
Pd 0.994 2.983 4.282
Pd 2.983 0.994 4.282
N 0.994 0.994 7.453
N 2.983 2.983 1.111

***

12
Lattice="7.747 -1.438 0.000 7.747 1.438 0.000 -1.146 0.000 5.676" Properties=species:S:1:pos:R:3 comment="TcNiB, relaxed, DFT PBE" de_polymorph_mev_per_atom=129 e_form_ev_per_atom=-0.169 pbc="T T T"
Tc 0.174 0.000 1.667
Tc 6.231 0.000 0.099
Tc 8.117 0.000 5.577
Tc 14.174 0.000 4.009
Ni 2.521 0.000 4.717
Ni 4.426 0.000 3.005
Ni 9.921 0.000 2.671
Ni 11.827 0.000 0.959
B 0.794 0.000 3.716
B 2.685 0.000 1.235
B 11.663 0.000 4.442
B 13.554 0.000 1.960

***

Number 1: total magnetic moment 0.00 μB/f.u.. Number 2: total magnetic moment 0.00 μB/f.u..